Record 1
Crystalline SrLa2 at its relaxed geometry. Source: Alexandria, functional PBE-GGA.

```
12
Lattice="-0.868 0.609 5.345 -7.701 0.364 -1.292 -0.744 -11.512 1.190" Properties=species:S:1:pos:R:3 pbc="T T T"
La -5.592 -8.409 1.438
La -3.721 -2.130 3.805
La -7.969 -5.884 3.542
La -4.940 -0.537 0.648
La -7.591 -2.257 3.191
La -1.722 -8.282 2.052
La -1.344 -4.655 1.701
La -4.373 -10.002 4.595
Sr -8.088 -9.763 3.964
Sr -5.322 -4.404 1.026
Sr -3.992 -6.136 4.217
Sr -1.225 -0.776 1.278
```

**M_tot**: 0.00 μB/f.u.
**E_tot**: -44.5 eV for the cell shown
**DFT formation energy**: 0.1381 eV/atom



Record 2
Crystalline Sr2La at its relaxed geometry. Source: Alexandria, functional PBE-GGA.

```
9
Lattice="5.619 -9.732 0.000 5.619 9.732 0.000 0.000 0.000 3.892" Properties=species:S:1:pos:R:3 pbc="T T T"
Sr 1.730 -2.996 0.000
Sr 7.779 0.000 0.000
Sr 3.599 -6.233 1.946
Sr 3.599 6.233 1.946
Sr 1.730 2.996 0.000
Sr 4.040 0.000 1.946
La 0.000 0.000 1.946
La 5.619 3.244 0.000
La 5.619 -3.244 0.000
```

**M_tot**: 0.00 μB/f.u.
**E_tot**: -23.2 eV for the cell shown
**DFT formation energy**: 0.1839 eV/atom



Record 3
Crystalline Sr2La at its relaxed geometry. Source: Alexandria, functional PBE-GGA.

```
3
Lattice="-3.350 -4.532 7.356 -2.661 -8.284 3.188 5.639 5.904 -4.383" Properties=species:S:1:pos:R:3 pbc="T T T"
La 0.000 0.000 0.000
Sr -3.958 -8.441 6.944
Sr -2.052 -4.376 3.600
```

**M_tot**: 0.00 μB/f.u.
**E_tot**: -7.9 eV for the cell shown
**DFT formation energy**: 0.1288 eV/atom



Record 4
Crystalline SrLa2Ta at its relaxed geometry. Source: Alexandria, functional PBE-GGA.

```
4
Lattice="7.259 0.165 0.232 3.898 6.127 -0.232 -4.890 -4.366 3.131" Properties=species:S:1:pos:R:3 pbc="T T T"
Sr 5.128 2.892 0.000
La 0.568 0.320 0.000
La 4.058 -0.480 1.682
Ta 2.092 2.340 1.449
```

**M_tot**: 0.00 μB/f.u.
**E_tot**: -21.0 eV for the cell shown
**DFT formation energy**: 0.6027 eV/atom



Record 5
Crystalline SrLaTa2 at its relaxed geometry. Source: Alexandria, functional PBE-GGA.

```
4
Lattice="5.288 0.000 0.000 0.000 3.057 0.045 0.000 2.553 6.769" Properties=species:S:1:pos:R:3 pbc="T T T"
Ta 0.000 2.572 3.003
Ta 0.000 0.234 0.404
La 2.644 1.403 1.703
Sr 2.644 4.208 5.110
```

**M_tot**: 0.00 μB/f.u.
**E_tot**: -26.8 eV for the cell shown
**DFT formation energy**: 0.8778 eV/atom



Record 6
Crystalline Sr2LaTa at its relaxed geometry. Source: Alexandria, functional PBE-GGA.

```
4
Lattice="3.551 0.014 0.000 -0.291 3.539 0.000 0.000 0.000 11.434" Properties=species:S:1:pos:R:3 pbc="T T T"
Ta 0.000 0.000 5.870
Sr 1.630 1.777 3.462
Sr 0.000 0.000 11.335
La 1.630 1.777 7.918
```

**M_tot**: 0.00 μB/f.u.
**E_tot**: -17.8 eV for the cell shown
**DFT formation energy**: 0.5876 eV/atom



Record 7
Crystalline Sr2LaTa2 at its relaxed geometry. Source: Alexandria, functional PBE-GGA.

```
10
Lattice="9.429 0.000 0.000 0.000 9.429 0.000 0.000 0.000 3.626" Properties=species:S:1:pos:R:3 pbc="T T T"
Ta 3.871 8.585 0.000
Ta 8.585 5.559 0.000
Ta 5.559 0.844 0.000
Ta 0.844 3.871 0.000
Sr 6.574 7.570 1.813
Sr 1.859 6.574 1.813
Sr 7.570 2.856 1.813
Sr 2.856 1.859 1.813
La 0.000 0.000 0.000
La 4.715 4.715 0.000
```

**M_tot**: 0.00 μB/f.u.
**E_tot**: -54.6 eV for the cell shown
**DFT formation energy**: 0.9392 eV/atom



Record 8
Crystalline Sr2LaTa at its relaxed geometry. Source: Alexandria, functional PBE-GGA.

```
4
Lattice="4.292 0.000 0.000 0.000 4.292 0.000 0.000 0.000 7.721" Properties=species:S:1:pos:R:3 pbc="T T T"
Sr 0.000 0.000 3.608
Sr 0.000 0.000 0.253
La 2.146 2.146 5.791
Ta 2.146 2.146 1.930
```

**M_tot**: 2.32 μB/f.u.
**E_tot**: -16.4 eV for the cell shown
**DFT formation energy**: 0.9358 eV/atom



Record 9
Crystalline Sr2LaTa at its relaxed geometry. Source: Alexandria, functional PBE-GGA.

```
4
Lattice="-4.560 2.580 2.482 2.182 -1.166 5.243 3.190 2.867 -3.901" Properties=species:S:1:pos:R:3 pbc="T T T"
Sr 2.091 1.204 2.602
Sr 0.000 0.000 0.000
Ta -1.189 0.707 3.862
La -1.279 3.077 1.222
```

**M_tot**: 3.28 μB/f.u.
**E_tot**: -16.9 eV for the cell shown
**DFT formation energy**: 0.8000 eV/atom



Record 10
Crystalline SrLaTa2 at its relaxed geometry. Source: Alexandria, functional PBE-GGA.

```
4
Lattice="-0.533 2.129 2.373 -2.541 -1.966 -0.353 4.406 -6.999 7.270" Properties=species:S:1:pos:R:3 pbc="T T T"
Sr 1.932 -5.429 6.734
Ta -0.579 -1.440 2.590
Ta 0.187 -0.297 0.308
La 1.995 -3.169 3.292
```

**M_tot**: 0.00 μB/f.u.
**E_tot**: -27.9 eV for the cell shown
**DFT formation energy**: 0.5950 eV/atom



Record 11
Crystalline SrLaTa2 at its relaxed geometry. Source: Alexandria, functional PBE-GGA.

```
4
Lattice="5.797 0.000 0.000 0.000 5.797 0.000 0.000 0.000 3.084" Properties=species:S:1:pos:R:3 pbc="T T T"
La 2.899 0.000 1.542
Ta 0.000 0.000 0.000
Ta 2.899 2.899 0.000
Sr 0.000 2.899 1.542
```

**M_tot**: 0.00 μB/f.u.
**E_tot**: -25.7 eV for the cell shown
**DFT formation energy**: 1.1547 eV/atom



Record 12
Crystalline SrLa2Ta at its relaxed geometry. Source: Alexandria, functional PBE-GGA.

```
4
Lattice="-3.801 -3.777 -2.942 5.692 -1.899 -1.168 -0.115 -2.067 2.801" Properties=species:S:1:pos:R:3 pbc="T T T"
La 0.946 -2.838 -2.055
La 0.000 0.000 0.000
Ta 2.789 -1.983 0.816
Sr -1.958 -2.922 -0.071
```

**M_tot**: 0.00 μB/f.u.
**E_tot**: -20.6 eV for the cell shown
**DFT formation energy**: 0.6898 eV/atom